Record 1
VASP calculation (PBE) on Y4ZnFe after structural relaxation.

Geometry as extended XYZ:
```
12
Lattice="6.031 0.391 -1.070 -1.973 6.733 -2.498 0.237 -0.153 7.442" Properties=species:S:1:pos:R:3 pbc="T T T"
Fe -0.460 6.813 -2.740
Fe 4.755 0.158 6.614
Y 3.226 1.589 1.619
Y 5.863 0.687 4.245
Y -1.567 6.285 -0.370
Y 4.445 4.459 3.336
Y 2.924 1.885 5.729
Y 1.372 5.087 -1.854
Y -0.149 2.513 0.538
Y 1.070 5.383 2.255
Zn 0.926 2.498 3.489
Zn 3.370 4.473 0.385
```

Values from the calculation:
E above lowest polymorph ... 0 meV per atom
Volume ... 307 Å³/cell



Record 2
VASP calculation (PBE) on Nd2AsPPd6 after structural relaxation.

Geometry as extended XYZ:
```
20
Lattice="5.559 0.000 0.000 0.000 8.071 0.000 0.000 0.000 8.801" Properties=species:S:1:pos:R:3 pbc="T T T"
Pd 4.153 3.850 4.401
Pd 4.175 0.008 4.401
Pd 4.187 4.220 0.000
Pd 0.000 7.076 6.611
Pd 4.164 8.062 0.000
Pd 1.384 0.008 4.401
Pd 1.407 3.850 4.401
Pd 0.000 7.076 2.190
Pd 1.373 4.220 0.000
Pd 2.780 0.995 2.211
Pd 1.395 8.062 0.000
Pd 2.780 0.995 6.591
As 2.780 2.198 0.000
As 0.000 5.872 4.401
P 2.780 1.965 4.401
P 0.000 6.105 0.000
Nd 0.000 2.133 6.667
Nd 2.780 5.937 6.534
Nd 0.000 2.133 2.134
Nd 2.780 5.937 2.267
```

Values from the calculation:
Electronic total energy ... -5.85 eV/atom
Volume ... 395 Å³/cell



Record 3
VASP calculation (PBE) on InBi after structural relaxation.

Geometry as extended XYZ:
```
16
Lattice="9.404 0.000 0.000 0.000 9.404 0.000 0.000 0.000 9.404" Properties=species:S:1:pos:R:3 pbc="T T T"
Bi 7.881 1.523 1.523
Bi 6.225 6.225 3.179
Bi 7.881 7.881 7.881
Bi 6.225 3.179 6.225
Bi 3.179 3.179 3.179
Bi 3.179 6.225 6.225
Bi 1.523 1.523 7.881
Bi 1.523 7.881 1.523
In 7.920 1.483 7.920
In 6.185 6.185 6.185
In 1.483 1.483 1.483
In 3.219 3.219 6.185
In 7.920 7.920 1.483
In 1.483 7.920 7.920
In 3.219 6.185 3.219
In 6.185 3.219 3.219
```

Values from the calculation:
Electronic total energy ... -3.13 eV/atom
Volume ... 832 Å³/cell



Record 4
VASP calculation (PBE) on Zn2Ga3Cu4 after structural relaxation.

Geometry as extended XYZ:
```
9
Lattice="4.018 0.000 0.000 -2.009 4.243 0.080 0.000 -0.306 7.899" Properties=species:S:1:pos:R:3 pbc="T T T"
Cu 2.009 1.835 0.906
Cu 0.000 2.102 7.073
Cu 2.009 3.439 3.008
Cu 0.000 0.498 4.971
Zn 0.000 3.318 1.530
Zn 2.009 0.619 6.448
Ga 2.009 1.013 3.312
Ga 0.000 0.000 0.000
Ga 0.000 2.924 4.667
```

Values from the calculation:
Electronic total energy ... -3.12 eV/atom
Volume ... 135 Å³/cell



Record 5
VASP calculation (PBE) on Ti2SnOs after structural relaxation.

Geometry as extended XYZ:
```
4
Lattice="3.097 0.000 0.000 1.548 2.682 0.000 1.548 0.894 8.575" Properties=species:S:1:pos:R:3 pbc="T T T"
Os 0.000 0.000 0.000
Ti 4.645 2.682 6.682
Ti 1.548 0.894 1.893
Sn 3.097 1.788 4.287
```

Values from the calculation:
Electronic total energy ... -7.89 eV/atom
Volume ... 71 Å³/cell



Record 6
VASP calculation (PBE) on BaLaCl5 after structural relaxation.

Geometry as extended XYZ:
```
28
Lattice="12.464 0.000 0.000 0.000 7.031 -0.102 0.000 0.351 10.151" Properties=species:S:1:pos:R:3 pbc="T T T"
Cl 6.679 5.446 8.128
Cl 9.199 5.293 0.987
Cl 0.504 5.424 1.565
Cl 6.284 1.926 4.635
Cl 0.447 1.936 1.921
Cl 11.594 3.161 8.915
Cl 9.199 2.916 6.261
Cl 2.967 2.088 9.062
Cl 2.968 4.466 3.789
Cl 5.362 4.221 1.134
Cl 6.294 5.467 4.757
Cl 8.912 1.964 1.256
Cl 6.736 1.957 8.484
Cl 0.062 1.914 5.292
Cl 9.407 6.818 4.043
Cl 9.969 6.396 7.824
Cl 3.175 0.563 6.006
Cl 3.738 0.986 2.225
Cl 2.681 5.418 8.794
Cl 0.053 5.455 5.414
La 2.712 3.542 1.032
La 7.784 0.305 6.341
La 8.944 3.840 9.017
La 1.553 7.076 3.708
Ba 6.739 6.925 2.046
Ba 4.412 3.647 6.616
Ba 0.507 0.456 8.003
Ba 10.644 3.734 3.434
```

Values from the calculation:
E above lowest polymorph ... 40 meV per atom
E_form (uncorrected) ... -2.42 eV/atom
Volume ... 890 Å³/cell



Record 7
VASP calculation (PBE) on Ca5Al2In after structural relaxation.

Geometry as extended XYZ:
```
16
Lattice="7.411 0.000 -3.498 -1.651 7.224 -3.498 -0.051 -0.064 9.490" Properties=species:S:1:pos:R:3 pbc="T T T"
Ca -0.680 3.795 4.798
Ca 0.993 5.894 -1.256
Ca 1.257 0.183 6.023
Ca 4.715 1.266 3.749
Ca 4.451 6.977 -3.530
Ca 2.778 4.878 2.525
Ca 2.880 3.612 -3.498
Ca 2.930 2.282 -0.031
Ca 6.388 3.365 -2.305
Ca 0.000 0.000 0.000
Al 5.572 4.420 -5.247
Al 4.349 0.808 -2.531
Al 0.187 2.805 -1.749
Al 1.410 6.417 -4.465
In 4.294 5.386 -0.503
In 1.414 1.774 2.996
```

Values from the calculation:
Electronic total energy ... -2.79 eV/atom
Volume ... 505 Å³/cell



Record 8
VASP calculation (PBE) on ZrZn2InH after structural relaxation.

Geometry as extended XYZ:
```
5
Lattice="5.246 0.000 0.000 0.000 3.421 0.000 0.000 0.000 5.246" Properties=species:S:1:pos:R:3 pbc="T T T"
Zr 2.623 1.710 2.623
H 0.000 1.710 0.000
In 0.000 0.000 0.000
Zn 0.000 0.000 2.623
Zn 2.623 0.000 0.000
```

Values from the calculation:
E above lowest polymorph ... 656 meV per atom
Volume ... 94 Å³/cell



Record 9
VASP calculation (PBE) on RbMn2AgCl6 after structural relaxation.

Geometry as extended XYZ:
```
20
Lattice="6.588 -0.356 -0.370 1.711 9.833 -0.383 1.711 -0.747 9.812" Properties=species:S:1:pos:R:3 pbc="T T T"
Cl 2.303 2.014 0.250
Cl 1.681 2.584 3.996
Cl 8.158 3.056 7.545
Cl 5.147 1.125 5.541
Cl 7.707 6.715 8.809
Cl 4.864 7.604 3.518
Cl 4.413 8.732 7.222
Cl 1.853 5.673 1.514
Cl 8.329 6.145 5.063
Cl 5.597 -0.003 1.837
Cl 5.035 5.010 6.513
Cl 4.975 3.720 2.546
Mn 2.627 3.500 1.968
Mn 5.921 1.659 3.386
Mn 4.089 7.070 5.673
Mn 7.383 5.229 7.091
Rb 3.358 8.582 0.644
Rb 6.652 0.147 8.415
Ag 3.358 2.580 6.428
Ag 6.652 6.150 2.631
```

Values from the calculation:
E_form (uncorrected) ... -1.13 eV/atom
Volume ... 647 Å³/cell



Record 10
VASP calculation (PBE) on Cu2Pt after structural relaxation.

Geometry as extended XYZ:
```
9
Lattice="15.731 0.011 0.011 -0.245 2.755 0.000 -0.245 -0.022 2.755" Properties=species:S:1:pos:R:3 pbc="T T T"
Cu 11.828 2.441 2.460
Cu 0.173 0.015 0.015
Cu 1.504 1.522 1.534
Cu 8.239 2.121 2.138
Cu 6.891 0.613 0.618
Cu 3.323 0.296 0.298
Pt 10.263 0.913 0.920
Pt 13.880 1.235 1.245
Pt 4.864 1.821 1.836
```

Values from the calculation:
E above lowest polymorph ... 32 meV per atom
Volume ... 119 Å³/cell